# KNbSe4

A relaxed structure of KNbSe4 (PBE, Alexandria via LeMat-Bulk).

Calculated volume (Å³ per cell): 365
Magnetization (μB/atom): 0.0000
Energy above the most stable polymorph in this dataset (meV per atom): 46.4

Cell and atoms, written as POSCAR:
```
KNbSe4
1.0
7.2900 -3.7534 0.0000
7.2900 3.7534 0.0000
-0.4907 0.0000 6.6678
K Nb Se
2 2 8
Cartesian
2.7703 0.0000 1.1892
11.3189 0.0000 5.4786
6.8597 0.0000 4.8980
7.2296 0.0000 1.7699
5.7410 1.6874 3.2399
7.2900 1.8615 0.0000
4.0570 0.0000 4.7318
8.3483 1.6874 3.4279
5.7410 -1.6874 3.2399
10.0322 0.0000 1.9361
7.2900 -1.8615 0.0000
8.3483 -1.6874 3.4279
```

---

# K2Nb4Se7

A relaxed structure of K2Nb4Se7 (PBE, Alexandria via LeMat-Bulk).

Calculated volume (Å³ per cell): 316
Total DFT energy (no corrections) (Ry/atom): -0.424
Magnetization (μB/atom): 0.0000

Cell and atoms, written as POSCAR:
```
K2Nb4Se7
1.0
6.3887 0.0000 0.0000
-3.1944 5.5328 0.0000
0.0000 0.0000 8.9472
K Nb Se
2 4 7
Cartesian
0.0000 3.6885 0.0000
3.1944 1.8443 0.0000
0.0000 0.0000 3.1689
0.0000 0.0000 5.7783
0.0000 3.6885 4.4736
3.1944 1.8443 4.4736
0.0000 0.0000 0.0000
-1.2391 2.1462 2.6746
-1.9552 3.3866 6.2726
2.4783 0.0000 2.6746
1.2391 2.1462 6.2726
3.9105 0.0000 6.2726
1.9552 3.3866 2.6746
```

---

# K2Nb3Se6

A relaxed structure of K2Nb3Se6 (PBE, Alexandria via LeMat-Bulk).

Calculated volume (Å³ per cell): 550
Total DFT energy (no corrections) (Ry/atom): -0.433
Magnetization (μB/atom): 0.0000

Cell and atoms, written as POSCAR:
```
K2Nb3Se6
1.0
16.6743 0.0000 0.0000
0.0000 5.3458 3.0863
0.0000 -5.3458 3.0863
K Nb Se
4 6 12
Cartesian
0.0000 -3.5664 3.0863
0.0000 3.5664 3.0863
8.3371 -1.7835 2.0587
8.3371 1.7835 2.0587
4.1538 0.0000 5.1532
4.1648 -1.7877 2.0569
4.1648 1.7877 2.0569
12.5095 -1.7877 2.0569
12.5095 1.7877 2.0569
12.5205 0.0000 5.1532
2.5142 0.0000 1.0521
2.5143 -1.7709 4.1074
2.5143 1.7709 4.1074
5.8091 0.0000 1.0188
5.8091 -1.7643 4.1241
5.8091 1.7643 4.1241
10.8652 0.0000 1.0188
10.8651 -1.7643 4.1241
10.8651 1.7643 4.1241
14.1601 0.0000 1.0521
14.1599 -1.7709 4.1074
14.1599 1.7709 4.1074
```